Entry from Alexandria: crystalline CeScTcSn at its relaxed geometry (GGA-PBE).

Summary:
The magnetic moment is 0.08 μB/f.u. The value obtained for the theoretical density is 8.3 g cm⁻³. The formation energy comes out at -317 meV per atom.

Structure (POSCAR):
```
CeScTcSn
1.0
0.000 3.426 3.426
3.426 0.000 3.426
3.426 3.426 0.000
Ce Sc Tc Sn
1 1 1 1
direct
0.000 0.000 0.000 Ce
0.750 0.750 0.750 Sc
0.250 0.250 0.250 Tc
0.500 0.500 0.500 Sn
```